Here is a PBEsol-optimized structure of Rb2Na2H from the Alexandria database. Energies are from meta-GGA SCAN.

Energy in eV/f.u.: -52.88
Crystal system: tetragonal

abc: 7.6850 7.6850 7.7246
angles: 90.00 90.00 90.00
With the nearest neighbours (Å) after each atom.
Element x y z (fractional)
Rb  0.2100  0.2900  0.0000  2 H 2.75
Rb  0.2900  0.7900  0.0000  2 H 2.75
Rb  0.7100  0.2100  0.0000  2 H 2.75
Rb  0.7900  0.7100  0.0000  2 H 2.75
Na  0.1636  0.6636  0.5000  1 Na 3.56
Na  0.3364  0.1636  0.5000  1 Na 3.56
Na  0.6636  0.8364  0.5000  1 Na 3.56
Na  0.8364  0.3364  0.5000  1 Na 3.56
H  0.0000  0.0000  0.0000  4 Rb 2.75
H  0.5000  0.5000  0.0000  4 Rb 2.75


Here is a PBEsol-optimized structure of AgPt2 from the Alexandria database. Energies are from meta-GGA SCAN.

Energy relative to the lowest polymorph listed for this composition in eV per atom: 0.0607
Energy in eV/f.u.: -171.58
Formation enthalpy at 0 K in eV/f.u.: 0.2
Crystal system: triclinic

abc: 4.8141 4.8287 8.3834
angles: 90.21 105.91 99.46
With the nearest neighbours (Å) after each atom.
Element x y z (fractional)
Ag  0.0000  0.0000  0.0000  7 Pt 2.76-2.89, 5 Ag 2.78-2.80
Ag  0.0010  0.0063  0.6680  10 Pt 2.77-2.82, 2 Ag 2.78-2.80
Ag  0.4990  0.7455  0.0811  4 Ag 2.75-2.80, 8 Pt 2.79-2.84
Ag  0.5019  0.2504  0.9177  5 Ag 2.75-2.80, 7 Pt 2.77-2.84
Pt  0.0022  0.5043  0.4977  10 Pt 2.73-2.81, 2 Ag 2.80-2.81
Pt  0.0053  0.4935  0.1721  7 Pt 2.73-2.84, 5 Ag 2.77-2.84
Pt  0.0067  0.9987  0.3328  9 Pt 2.75-2.81, 3 Ag 2.78-2.84
Pt  0.4893  0.7430  0.7416  6 Pt 2.73-2.81, 6 Ag 2.78-2.89
Pt  0.5023  0.7502  0.4168  10 Pt 2.74-2.80, 2 Ag 2.81-2.82
Pt  0.5040  0.2532  0.5828  9 Pt 2.73-2.81, 3 Ag 2.77-2.81
Pt  0.5112  0.2478  0.2574  8 Pt 2.74-2.80, 4 Ag 2.82-2.87
Pt  0.9942  0.5068  0.8314  7 Ag 2.76-2.84, 5 Pt 2.76-2.84


> Which of these has the lowest energy?

AgPt2


> Which value of energy does entry 2 give?

-171.58 eV/f.u.